[1]
Th4TeAs2Os: relaxed, PBE-GGA.

a b c (Å): 4.222 7.600 7.446
angles (deg): 109.00 90.00 90.00
Positions (direct):
As  0.000  0.500  0.500
As  0.500  0.000  0.500
Th  0.500  0.274  0.260
Th  0.500  0.726  0.740
Th  0.000  0.720  0.232
Th  0.000  0.280  0.768
Te  0.000  0.000  0.000
Os  0.500  0.500  0.000

Properties
E_form (uncorrected), eV per atom: -1.00
Total energy, eV per atom: -7.6699

=====

[2]
Th8Te4AsOs3: relaxed, PBE-GGA.

a b c (Å): 8.511 9.039 8.512
angles (deg): 118.09 120.00 90.00
Positions (direct):
Th  0.719  0.704  0.962
Th  0.281  0.296  0.038
Th  0.733  0.700  0.467
Th  0.243  0.704  0.962
Th  0.757  0.296  0.038
Th  0.757  0.296  0.514
Th  0.267  0.300  0.533
Th  0.243  0.704  0.486
Te  0.500  0.000  0.000
Te  0.000  0.000  0.500
Te  0.500  0.000  0.500
Te  0.000  0.000  0.000
Os  0.000  0.500  0.500
Os  0.500  0.500  0.000
Os  0.500  0.500  0.500
As  0.000  0.500  0.000

Properties
E_form (uncorrected), eV per atom: -0.92
Total energy, eV per atom: -7.8156

=====

[3]
Th4Te2AsOs: relaxed, PBE-GGA.

a b c (Å): 4.203 7.608 7.846
angles (deg): 107.99 90.00 90.00
Positions (direct):
As  0.000  0.000  0.000
Os  0.500  0.500  0.000
Te  0.500  0.000  0.500
Te  0.000  0.500  0.500
Th  0.000  0.285  0.796
Th  0.500  0.753  0.786
Th  0.500  0.247  0.214
Th  0.000  0.715  0.204

Properties
E_form (uncorrected), eV per atom: -1.04
Total energy, eV per atom: -7.5200

=====

[4]
YTe2AsOs: relaxed, PBE-GGA.

a b c (Å): 5.369 5.305 5.369
angles (deg): 90.00 90.00 90.00
Positions (direct):
Os  0.500  0.500  0.500
Te  0.500  0.000  0.000
Te  0.000  0.000  0.500
Y  0.000  0.500  0.000
As  0.000  0.000  0.000

Properties
E_form (uncorrected), eV per atom: 1.08
Offset from the most stable computed form, meV/atom: 0.0
Total energy, eV per atom: -4.6436

=====

[5]
YTe2AsOs: relaxed, PBE-GGA.

a b c (Å): 5.783 5.240 5.783
angles (deg): 90.00 90.00 90.00
Positions (direct):
As  0.500  0.500  0.500
Y  0.000  0.000  0.000
Te  0.000  0.000  0.500
Te  0.500  0.000  0.000
Os  0.000  0.500  0.000

Properties
E_form (uncorrected), eV per atom: 1.30
Offset from the most stable computed form, meV/atom: 220.4
Total energy, eV per atom: -4.4232

=====

[6]
Th2AsOs: relaxed, PBE-GGA.

a b c (Å): 4.162 4.162 7.449
angles (deg): 73.78 73.78 60.00
Positions (direct):
Os  0.000  0.000  0.000
Th  0.258  0.258  0.226
Th  0.742  0.742  0.774
As  0.500  0.500  0.500

Properties
Offset from the most stable computed form, meV/atom: 23.6
Energy relative to the elements, eV/atom: -0.76
Total energy, eV per atom: -8.4428